1.
DFT (PBE) results for crystalline SmTh2Fe at its relaxed geometry.

abc: 3.514 3.514 8.769
angles: 90.00 90.00 90.00
Site moments in Bohr magnetons follow the coordinates.
Fractional coordinates of all 4 atoms:
Sm: 0.500 0.500 0.500  0.17
Th: 0.000 0.000 0.805  -0.07
Th: 0.000 0.000 0.195  -0.07
Fe: 0.500 0.500 0.000  1.69

Values from the calculation:
As for the formation enthalpy at 0 K: 42 kJ/mol of formula units. The calculation puts the energy at -6.90 eV per atom. Its spin magnetization is 1.914 μB/cell.

2.
DFT (PBE) results for crystalline SmThFe10 at its relaxed geometry.

abc: 3.991 5.070 8.769
angles: 90.00 90.00 90.00
Site moments in Bohr magnetons follow the coordinates.
Fractional coordinates of all 12 atoms:
Sm: 0.000 0.000 0.000  -0.27
Th: 0.000 0.500 0.500  -0.34
Fe: 0.000 0.000 0.334  2.14
Fe: 0.000 0.500 0.833  2.18
Fe: 0.000 0.500 0.167  2.18
Fe: 0.000 0.000 0.666  2.14
Fe: 0.500 0.000 0.500  2.13
Fe: 0.500 0.500 0.000  2.18
Fe: 0.500 0.250 0.249  2.17
Fe: 0.500 0.750 0.751  2.17
Fe: 0.500 0.750 0.249  2.17
Fe: 0.500 0.250 0.751  2.17

Values from the calculation:
As for the formation enthalpy at 0 K: -27 kJ/mol of formula units. The calculation puts the energy at -8.09 eV per atom. Its spin magnetization is 20.358 μB/cell.

3.
DFT (PBE) results for crystalline SmTh2Fe at its relaxed geometry.

abc: 3.756 3.756 10.272
angles: 79.47 79.47 60.00
Fractional coordinates of all 4 atoms:
Sm: 0.000 0.000 0.000
Th: 0.115 0.115 0.655
Th: 0.885 0.885 0.345
Fe: 0.500 0.500 0.500

Values from the calculation:
As for the formation enthalpy at 0 K: 83 kJ/mol of formula units. The calculation puts the energy at -6.79 eV per atom. Its spin magnetization is 0.000 μB/cell.

4.
DFT (PBE) results for crystalline SmThFe at its relaxed geometry.

abc: 3.802 6.171 7.178
angles: 82.28 74.64 72.06
Fractional coordinates of all 6 atoms:
Sm: 0.000 0.562 0.315
Sm: 0.619 0.096 0.543
Th: 0.233 0.616 0.796
Th: 0.386 0.042 0.062
Fe: 0.943 0.160 0.832
Fe: 0.676 0.499 0.027

Values from the calculation:
As for the formation enthalpy at 0 K: 3 kJ/mol of formula units. The calculation puts the energy at -6.86 eV per atom. Its spin magnetization is 0.000 μB/cell.

5.
DFT (PBE) results for crystalline SmThFe at its relaxed geometry.

abc: 3.471 3.471 6.634
angles: 105.17 105.17 90.00
Site moments in Bohr magnetons follow the coordinates.
Fractional coordinates of all 3 atoms:
Th: 0.297 0.297 0.594  -0.19
Sm: 0.025 0.025 0.049  -0.10
Fe: 0.679 0.679 0.357  1.22

Values from the calculation:
As for the formation enthalpy at 0 K: 34 kJ/mol of formula units. The calculation puts the energy at -6.75 eV per atom. Its spin magnetization is 0.736 μB/cell.

6.
DFT (PBE) results for crystalline SmThZnFe at its relaxed geometry.

abc: 5.046 5.046 5.046
angles: 60.00 60.00 60.00
Site moments in Bohr magnetons follow the coordinates.
Fractional coordinates of all 4 atoms:
Zn: 0.500 0.500 0.500  0.00
Sm: 0.250 0.250 0.250  -0.19
Th: 0.750 0.750 0.750  -0.24
Fe: 0.000 0.000 0.000  1.70

Values from the calculation:
As for the formation enthalpy at 0 K: 4 kJ/mol of formula units. The calculation puts the energy at -5.46 eV per atom. Its spin magnetization is 1.005 μB/cell.